[1]
BeCu6Pd12 | Alexandria | GGA-PBE | relaxed; magnetization = 0.0 μB/f.u.; energy of formation from the pure elements = -0.0641 eV/atom; final energy = -91.834 eV per cell
1.0
4.5441 2.6235 3.8005
-4.5441 2.6235 3.8005
0.0000 -5.2471 3.8005
Be Cu Pd
1 6 12
Cartesian
0.0000 0.0000 0.0000 Be
-0.7042 -2.8979 4.2203 Cu
-2.8618 -0.8392 7.1813 Cu
-2.1576 2.0588 4.2203 Cu
2.1576 -2.0588 7.1813 Cu
2.8618 0.8392 4.2203 Cu
0.7042 2.8980 7.1813 Cu
-1.5416 0.2305 2.0255 Pd
0.5712 -1.4503 2.0255 Pd
-1.6548 -0.4735 4.6662 Pd
0.9704 1.2198 2.0255 Pd
-0.4174 -1.6699 6.7354 Pd
1.2375 -1.1964 4.6662 Pd
-1.2375 1.1964 6.7354 Pd
0.4174 1.6699 4.6662 Pd
-0.9704 -1.2198 9.3761 Pd
1.6548 0.4735 6.7354 Pd
-0.5712 1.4503 9.3761 Pd
1.5416 -0.2305 9.3761 Pd

[2]
NiPd | Alexandria | GGA-PBE | relaxed; magnetization = 1.3 μB/f.u.; energy of formation from the pure elements = 1.1847 eV/atom; final energy = -68.838 eV per cell
1.0
7.4757 0.0000 0.0000
0.0000 7.4757 0.0000
0.0000 0.0000 7.4757
Ni Pd
8 8
Cartesian
1.3209 1.3209 1.3209 Ni
1.3209 6.1548 6.1548 Ni
2.4169 2.4169 5.0588 Ni
2.4169 5.0588 2.4169 Ni
5.0588 2.4169 2.4169 Ni
5.0588 5.0588 5.0588 Ni
6.1548 1.3209 6.1548 Ni
6.1548 6.1548 1.3209 Ni
1.0620 1.0620 6.4137 Pd
1.0620 6.4137 1.0620 Pd
2.6758 2.6758 2.6758 Pd
2.6758 4.7999 4.7999 Pd
4.7999 2.6758 4.7999 Pd
4.7999 4.7999 2.6758 Pd
6.4137 1.0620 1.0620 Pd
6.4137 6.4137 6.4137 Pd

[3]
LiCaPmSi | Alexandria | GGA-PBE | relaxed; magnetization = 0.0 μB/f.u.; energy relative to the elements, uncorrected = -0.298 eV/atom; final energy = -61.124 eV per cell
1.0
7.2425 0.0000 0.0000
0.0000 7.2425 0.0000
0.0000 0.0000 7.2425
Li Ca Pm Si
4 4 4 4
Cartesian
0.0000 0.0000 0.0000 Li
0.0000 3.6213 3.6213 Li
3.6213 0.0000 3.6213 Li
3.6213 3.6213 0.0000 Li
1.8106 1.8106 5.4319 Ca
1.8106 5.4319 1.8106 Ca
5.4319 1.8106 1.8106 Ca
5.4319 5.4319 5.4319 Ca
1.8106 1.8106 1.8106 Pm
1.8106 5.4319 5.4319 Pm
5.4319 1.8106 5.4319 Pm
5.4319 5.4319 1.8106 Pm
0.0000 0.0000 3.6213 Si
0.0000 3.6213 0.0000 Si
3.6213 0.0000 0.0000 Si
3.6213 3.6213 3.6213 Si

[4]
BaYOs2 | Alexandria | GGA-PBE | relaxed; magnetization = 0.0 μB/f.u.; ΔE to the lowest computed polymorph = 1.26 eV/f.u.; energy of formation from the pure elements = 0.4195 eV/atom; final energy = -29.168 eV per cell
1.0
3.0782 0.0000 0.0000
0.0000 3.8164 0.0000
0.0000 0.0000 8.8484
Ba Y Os
1 1 2
Cartesian
0.0000 0.0000 0.0000 Ba
1.5391 1.9082 5.2762 Y
0.0000 0.0000 3.3786 Os
1.5391 1.9082 2.5078 Os

[5]
Tm2Al2Ni15 | Alexandria | GGA-PBE | relaxed; magnetization = 2.1 μB/f.u.; energy of formation from the pure elements = -0.3240 eV/atom; final energy = -109.304 eV per cell
1.0
4.1250 2.3816 4.1000
-4.1250 2.3816 4.1000
0.0000 -4.7632 4.1000
Tm Al Ni
2 2 15
Cartesian
0.0000 0.0000 1.8452 Tm
0.0000 0.0000 10.4547 Tm
0.0000 0.0000 4.8813 Al
0.0000 0.0000 7.4187 Al
-2.0625 -1.1908 4.1000 Ni
0.0000 -2.3727 3.9359 Ni
-2.0548 1.1864 3.9359 Ni
-1.2214 -2.1156 6.1500 Ni
-2.4428 0.0000 6.1500 Ni
-2.0548 -1.1864 8.3641 Ni
-2.0625 1.1908 8.2000 Ni
1.2214 -2.1156 6.1500 Ni
0.0000 2.3816 4.1000 Ni
-1.2214 2.1156 6.1500 Ni
2.0548 1.1864 3.9359 Ni
2.4428 0.0000 6.1500 Ni
1.2214 2.1156 6.1500 Ni
2.0548 -1.1864 8.3641 Ni
0.0000 2.3727 8.3641 Ni

[6]
PmIn2Ag2 | Alexandria | GGA-PBE | relaxed; magnetization = 0.0 μB/f.u.; ΔE to the lowest computed polymorph = 0.00 eV/f.u.; energy of formation from the pure elements = -0.2492 eV/atom; final energy = -34.352 eV per cell
1.0
9.0798 0.0000 0.0000
0.0000 5.0332 0.0000
-1.6899 0.0000 5.1790
Pm In Ag
2 4 4
Cartesian
0.0000 0.0000 0.0000 Pm
4.5399 2.5166 0.0000 Pm
1.5704 2.5166 1.6191 In
1.2796 0.0000 3.5599 In
6.1103 0.0000 1.6191 In
5.8195 2.5166 3.5599 In
-0.2369 2.5166 3.8712 Ag
3.0868 0.0000 1.3078 Ag
4.3031 0.0000 3.8712 Ag
7.6267 2.5166 1.3078 Ag